This record from Alexandria via LeMat-Bulk describes a relaxed structure of Pr6Tm5. The functional is PBE.

Cell lengths 10.3042, 8.4406, 6.0652 Å; angles 74.45, 63.95, 52.38 degrees
Fractional positions:
Pr1 0.8149 0.0000 0.6019
Pr2 0.1851 0.0000 0.3981
Pr3 0.3295 0.7154 0.8774
Pr4 0.9551 0.7154 0.1226
Pr5 0.6705 0.2846 0.1226
Pr6 0.0449 0.2846 0.8774
Tm1 0.5000 0.0000 0.5000
Tm2 0.3716 0.2567 0.0000
Tm3 0.6284 0.7433 0.0000
Tm4 0.2336 0.5329 0.5000
Tm5 0.7664 0.4671 0.5000

Output
Size of the total moment = 0.00 μB/cell
Theoretical density = 7.5 Mg/m³
SG = C2/m, No. 12
Energy = -4.518 eV/atom
Formation energy from the elements = 0.12 eV per atom